Record 1
A relaxed structure of K2ZnOs, computed with GGA-PBE.

Computed properties:
Space group: Pm, No. 6
Energy in eV for the cell shown: -12.1
Energy relative to the elements in eV/atom: 0.65
Spin magnetization in μB/atom: 0.0011

abc: 4.2359 2.8356 10.0363
angles: 82.28 90.00 90.00
Last column: nearest neighbours and their distance in Å.
Element x y z (fractional)
K 0.0000 0.8779 0.9077  2 K 2.84
K 0.5000 0.1511 0.3424  2 K 2.84, 1 Zn 3.05
Os 0.0000 0.4993 0.6006  4 Zn 2.59-2.60, 2 Os 2.84
Zn 0.5000 0.9717 0.6492  4 Os 2.59-2.60, 2 Zn 2.84

---

Record 2
A relaxed structure of KZnOs2, computed with GGA-PBE.

Computed properties:
Space group: P4/mmm, No. 123
Energy in eV for the cell shown: -19.1
Energy relative to the elements in eV/atom: 1.43
Spin magnetization in μB/atom: 0.0000

abc: 4.8385 3.8223 3.8223
angles: 90.00 90.00 90.00
Last column: nearest neighbours and their distance in Å.
Element x y z (fractional)
K 0.5000 0.0000 0.5000  4 Zn 2.70
Os 0.0000 0.0000 0.0000  4 Os 2.70
Os 0.0000 0.5000 0.5000  4 Os 2.70
Zn 0.5000 0.5000 0.0000  4 K 2.70

---

Record 3
A relaxed structure of KZnOs2, computed with GGA-PBE.

Computed properties:
Space group: R-3m, No. 166
Energy in eV for the cell shown: -21.8
Energy relative to the elements in eV/atom: 0.76
Spin magnetization in μB/atom: 0.0678

abc: 10.2621 10.2621 10.2621
angles: 15.48 15.48 15.48
Last column: nearest neighbours and their distance in Å.
Element x y z (fractional)
K 0.7500 0.7500 0.7500  6 K 2.76
Os 0.9873 0.9873 0.9873  3 Zn 2.68, 6 Os 2.76
Os 0.5127 0.5127 0.5127  3 Zn 2.68, 6 Os 2.76
Zn 0.2500 0.2500 0.2500  6 Os 2.68, 6 Zn 2.76